Entry 1:
## BaHoPt2 (GGA-PBE)

Data for crystalline BaHoPt2 at its relaxed geometry.

Results
SG: R-3m (166)
Raw total energy: -5.56 eV per atom
V: 111.5 Å³/f.u.
ΔH_f (0 K): -0.91 eV per atom

a b c (Å): 4.672 4.675 6.480
angles (deg): 68.84 68.87 60.02
Fractional coordinates of all 4 atoms:
Pt (0.286, 0.786, 0.643)
Pt (0.714, 0.214, 0.357)
Ba (0.500, 0.000, 0.000)
Ho (0.000, 0.500, 0.500)

Entry 2:
## Zr4CdPb (GGA-PBE)

Data for crystalline Zr4CdPb at its relaxed geometry.

Results
SG: F-43m (216)
Raw total energy: -6.24 eV per atom
V: 143.0 Å³/f.u.
ΔH_f (0 K): 0.23 eV per atom

a b c (Å): 5.870 5.870 5.870
angles (deg): 60.00 60.00 60.00
Fractional coordinates of all 6 atoms:
Pb (0.000, 0.000, 0.000)
Zr (0.874, 0.375, 0.375)
Zr (0.375, 0.375, 0.375)
Zr (0.375, 0.375, 0.874)
Zr (0.375, 0.874, 0.375)
Cd (0.750, 0.750, 0.750)

Entry 3:
## SrHgIN2 (GGA-PBE)

Data for crystalline SrHgIN2 at its relaxed geometry.

Results
SG: P4/mmm (123)
Raw total energy: -3.00 eV per atom
V: 126.7 Å³/f.u.
ΔE_f (raw): 1.039 eV/atom

a b c (Å): 4.558 4.558 6.098
angles (deg): 90.00 90.00 90.00
Last column: magnetic moment on the atom in μB.
Fractional coordinates of all 5 atoms:
N (0.500, 0.000, 0.000)  0.85
N (0.000, 0.500, 0.000)  0.85
Hg (0.000, 0.000, 0.000)  0.05
I (0.000, 0.000, 0.500)  0.03
Sr (0.500, 0.500, 0.500)  -0.02

Entry 4:
## La4Pr9Ag11 (GGA-PBE)

Data for crystalline La4Pr9Ag11 at its relaxed geometry.

Results
SG: Cmmm (65)
Raw total energy: -4.09 eV per atom
V: 665.8 Å³/f.u.
ΔH_f (0 K): -0.17 eV per atom

a b c (Å): 3.660 13.910 13.910
angles (deg): 109.93 90.00 90.00
Fractional coordinates of all 24 atoms:
Pr (0.500, 0.208, 0.033)
Pr (0.500, 0.624, 0.143)
Pr (0.500, 0.967, 0.792)
Pr (0.500, 0.792, 0.967)
Pr (0.500, 0.500, 0.500)
Pr (0.500, 0.143, 0.624)
Pr (0.500, 0.857, 0.376)
Pr (0.500, 0.033, 0.208)
Pr (0.500, 0.376, 0.857)
La (0.500, 0.563, 0.741)
La (0.500, 0.437, 0.259)
La (0.500, 0.259, 0.437)
La (0.500, 0.741, 0.563)
Ag (0.000, 0.415, 0.057)
Ag (0.000, 0.768, 0.768)
Ag (0.000, 0.057, 0.415)
Ag (0.000, 0.828, 0.172)
Ag (0.000, 0.000, 0.000)
Ag (0.000, 0.642, 0.358)
Ag (0.000, 0.358, 0.642)
Ag (0.000, 0.232, 0.232)
Ag (0.000, 0.172, 0.828)
Ag (0.000, 0.943, 0.585)
Ag (0.000, 0.585, 0.943)

Entry 5:
## ZnCrPd6 (GGA-PBE)

Data for crystalline ZnCrPd6 at its relaxed geometry.

Results
SG: P4/mmm (123)
Raw total energy: -5.46 eV per atom
V: 119.3 Å³/f.u.
ΔH_f (0 K): -0.20 eV per atom

a b c (Å): 3.901 3.901 7.839
angles (deg): 90.00 90.00 90.00
Last column: magnetic moment on the atom in μB.
Fractional coordinates of all 8 atoms:
Pd (0.500, 0.000, 0.747)  -0.12
Pd (0.000, 0.500, 0.253)  -0.12
Pd (0.500, 0.000, 0.253)  -0.12
Pd (0.000, 0.500, 0.747)  -0.12
Pd (0.500, 0.500, 0.000)  -0.09
Pd (0.500, 0.500, 0.500)  -0.07
Cr (0.000, 0.000, 0.500)  2.72
Zn (0.000, 0.000, 0.000)  -0.01

Entry 6:
## SrLiP4 (GGA-PBE)

Data for crystalline SrLiP4 at its relaxed geometry.

Results
SG: F-43m (216)
Raw total energy: -4.35 eV per atom
V: 112.5 Å³/f.u.
ΔH_f (0 K): -0.15 eV per atom

a b c (Å): 5.418 5.418 5.418
angles (deg): 60.00 60.00 60.00
Fractional coordinates of all 6 atoms:
P (0.905, 0.365, 0.365)
P (0.365, 0.905, 0.365)
P (0.365, 0.365, 0.365)
P (0.365, 0.365, 0.905)
Li (0.000, 0.000, 0.000)
Sr (0.750, 0.750, 0.750)

Entry 7:
## Sc3Zn8Hg (GGA-PBE)

Data for crystalline Sc3Zn8Hg at its relaxed geometry.

Results
SG: R3m (160)
Raw total energy: -2.71 eV per atom
V: 205.0 Å³/f.u.
ΔH_f (0 K): -0.26 eV per atom

a b c (Å): 5.258 5.258 9.084
angles (deg): 73.18 73.18 60.00
Fractional coordinates of all 12 atoms:
Zn (0.938, 0.938, 0.693)
Zn (0.430, 0.938, 0.693)
Zn (0.440, 0.940, 0.180)
Zn (0.187, 0.187, 0.438)
Zn (0.940, 0.440, 0.180)
Zn (0.938, 0.430, 0.693)
Zn (0.688, 0.688, 0.937)
Zn (0.440, 0.440, 0.180)
Hg (0.873, 0.873, 0.381)
Sc (0.502, 0.502, 0.495)
Sc (0.997, 0.997, 0.009)
Sc (0.377, 0.377, 0.870)

Entry 8:
## In2RePt (GGA-PBE)

Data for crystalline In2RePt at its relaxed geometry.

Results
SG: P4mm (99)
Raw total energy: -5.63 eV per atom
V: 73.3 Å³/f.u.
ΔH_f (0 K): 0.36 eV per atom

a b c (Å): 3.510 3.510 5.951
angles (deg): 90.00 90.00 90.00
Fractional coordinates of all 4 atoms:
In (0.000, 0.000, 0.971)
In (0.500, 0.500, 0.276)
Re (0.500, 0.500, 0.763)
Pt (0.000, 0.000, 0.491)